1.
Material: Li2HfAlBr
Method: DFT, PBE
State: relaxed

Unit cell a=4.864 b=4.864 c=5.278 alpha=90.00 beta=90.00 gamma=90.00
Fractional coordinates of all 5 atoms:
Li (0.000, 0.500, 0.000)
Li (0.500, 0.000, 0.000)
Hf (0.000, 0.000, 0.500)
Al (0.000, 0.000, 0.000)
Br (0.500, 0.500, 0.500)

Output
Uncorrected energy, eV per cell: -17.3
Uncorrected formation energy, meV/atom: 385
Magnetization, μB/f.u.: 0.00
Fermi-level density of states, states/eV per atom: 0.789
Crystal system: tetragonal


2.
Material: HgSbN3
Method: DFT, PBE
State: relaxed

Unit cell a=4.198 b=4.198 c=4.198 alpha=90.00 beta=90.00 gamma=90.00
Fractional coordinates of all 5 atoms:
Hg (0.000, 0.000, 0.000)
Sb (0.500, 0.500, 0.500)
N (0.000, 0.000, 0.500)
N (0.000, 0.500, 0.000)
N (0.500, 0.000, 0.000)

Output
Uncorrected energy, eV per cell: -17.5
Uncorrected formation energy, meV/atom: 2387
Magnetization, μB/f.u.: 1.84
Fermi-level density of states, states/eV per atom: 1.063
Crystal system: cubic